No. 1
First-principles (GGA-PBE) data for a relaxed PuSI crystal, as listed in Alexandria via LeMat-Bulk.

Results
Space-group type   P3m1, No. 156
Energy above the most stable polymorph in this dataset   114 meV/atom
Calculated volume   107.8 Å³/cell
Raw total energy   -8.012 eV/atom
Formation energy without anion corrections   -1.34 eV/atom

The structure in POSCAR format:
```
PuSI
1.0
7.018 0.000 0.000
0.000 4.211 0.000
0.000 -2.106 3.647
I S Pu
1 1 1
direct
0.749 0.667 0.333
0.207 0.333 0.667
0.044 0.000 0.000
```

No. 2
First-principles (GGA-PBE) data for a relaxed Na2CeSmTe4 crystal, as listed in Alexandria via LeMat-Bulk.

Results
Space-group type   P2/m, No. 10
Calculated volume   269.1 Å³/cell
Raw total energy   -4.524 eV/atom
Formation energy without anion corrections   -1.29 eV/atom

The structure in POSCAR format:
```
Na2CeSmTe4
1.0
-2.481 -1.875 3.312
4.447 -6.478 -0.335
3.173 5.088 5.256
Na Ce Sm Te
2 1 1 4
direct
0.500 0.000 0.500
0.000 0.500 0.500
0.500 0.500 0.000
0.000 0.000 0.000
0.500 0.243 0.238
0.500 0.757 0.762
0.000 0.251 0.761
0.000 0.749 0.239
```

No. 3
First-principles (GGA-PBE) data for a relaxed Ac6La3Tb2 crystal, as listed in Alexandria via LeMat-Bulk.

Results
Space-group type   P-1, No. 2
Calculated volume   444.6 Å³/cell
Raw total energy   -4.387 eV/atom
Energy of formation from the pure elements   0.040 eV per atom

The structure in POSCAR format:
```
Ac6La3Tb2
1.0
8.046 -0.827 2.905
-1.081 6.211 2.218
6.528 4.630 13.683
Ac La Tb
6 3 2
direct
0.084 0.734 0.819
0.634 0.087 0.735
0.916 0.266 0.181
0.366 0.913 0.265
0.721 0.815 0.549
0.279 0.185 0.451
0.000 0.000 0.000
0.827 0.550 0.357
0.173 0.450 0.643
0.458 0.644 0.087
0.542 0.356 0.913
```

No. 4
First-principles (GGA-PBE) data for a relaxed Hf3NbRu crystal, as listed in Alexandria via LeMat-Bulk.

Results
Space-group type   Pm-3m, No. 221
Energy above the most stable polymorph in this dataset   0 meV/atom
Calculated volume   117.6 Å³/cell
Raw total energy   -9.268 eV/atom
Energy of formation from the pure elements   0.573 eV per atom

The structure in POSCAR format:
```
Hf3NbRu
1.0
4.899 0.000 0.000
0.000 4.899 0.000
0.000 0.000 4.899
Ru Nb Hf
1 1 3
direct
0.000 0.000 0.000
0.500 0.500 0.500
0.000 0.500 0.000
0.000 0.000 0.500
0.500 0.000 0.000
```